Run P
Density functional theory data (PBEsol) for a relaxed LiRu2Au crystal.

Unit cell a=2.7119 b=4.1525 c=10.5768 alpha=90.00 beta=90.00 gamma=90.00
With the nearest neighbours (Å) after each atom.
Space group Immm (No. 71)
Symmetry-distinct sites (fractional):
Li 0.0000 0.0000 0.0000 (multiplicity 2)  4 Au 2.48, 2 Li 2.71
Ru 0.0000 0.5000 0.2167 (multiplicity 4)  6 Ru 2.58-2.71, 2 Au 2.66
Au 0.0000 0.0000 0.5000 (multiplicity 2)  4 Li 2.48, 4 Ru 2.66, 2 Au 2.71

calculated volume = 14.89 A^3/atom



Run Q
Density functional theory data (PBEsol) for a relaxed LiRu2Au crystal.

Unit cell a=3.2911 b=3.2911 c=5.1226 alpha=90.00 beta=90.00 gamma=90.00
With the nearest neighbours (Å) after each atom.
Space group P4/mmm (No. 123)
Symmetry-distinct sites (fractional):
Li 0.0000 0.0000 0.0000 (multiplicity 1)  2 Au 2.56, 8 Ru 2.60
Ru 0.5000 0.5000 0.2252 (multiplicity 2)  1 Ru 2.31
Au 0.0000 0.0000 0.5000 (multiplicity 1)  2 Li 2.56, 8 Ru 2.72

calculated volume = 13.87 A^3/atom



Run R
Density functional theory data (PBEsol) for a relaxed LiRu2Au crystal.

Unit cell a=3.8996 b=3.8996 c=7.1933 alpha=90.00 beta=90.00 gamma=90.00
With the nearest neighbours (Å) after each atom.
Space group I-4m2 (No. 119)
Symmetry-distinct sites (fractional):
Li 0.0000 0.0000 0.0000 (multiplicity 2)  8 Ru 2.65-2.76, 4 Au 2.65
Ru 0.0000 0.0000 0.5000 (multiplicity 2)  4 Ru 2.65, 4 Au 2.65, 4 Li 2.76
Ru 0.0000 0.5000 0.7500 (multiplicity 2)  4 Li 2.65, 4 Ru 2.65, 4 Au 2.76
Au 0.0000 0.5000 0.2500 (multiplicity 2)  4 Li 2.65, 8 Ru 2.65-2.76

calculated volume = 13.67 A^3/atom



What should be chosen as the least stable of them? Choose run Q.



Run P
Density functional theory data (PBEsol) for a relaxed LiSb2Au crystal.

Unit cell a=7.0613 b=7.0613 c=7.0613 alpha=90.00 beta=90.00 gamma=90.00
With the nearest neighbours (Å) after each atom.
Space group F-43m (No. 216)
Symmetry-distinct sites (fractional):
Li 0.0000 0.0000 0.0000 (multiplicity 4)  4 Au 3.06, 4 Sb 3.06
Sb 0.0000 0.0000 0.5000 (multiplicity 4)  4 Sb 3.06, 4 Au 3.06
Sb 0.2500 0.2500 0.2500 (multiplicity 4)  4 Li 3.06, 4 Sb 3.06
Au 0.2500 0.2500 0.7500 (multiplicity 4)  4 Li 3.06, 4 Sb 3.06

calculated volume = 22.01 A^3/atom



Run Q
Density functional theory data (PBEsol) for a relaxed LiSb2Au crystal.

Unit cell a=3.1915 b=4.3475 c=6.4761 alpha=90.00 beta=90.00 gamma=90.00
With the nearest neighbours (Å) after each atom.
Space group Pmmm (No. 47)
Symmetry-distinct sites (fractional):
Li 0.0000 0.0000 0.0000 (multiplicity 1)  8 Sb 3.11, 2 Li 3.19
Sb 0.5000 0.5000 0.2391 (multiplicity 2)  2 Au 2.75
Au 0.5000 0.0000 0.5000 (multiplicity 1)  4 Sb 2.75

calculated volume = 22.46 A^3/atom



What should be chosen as the least stable of them? Choose run P.